No. 1
Material: Tm2ScAs3
Method: DFT, PBE
State: optimized geometry

Cell and atoms, written as POSCAR:
```
Tm2ScAs3
1.0
-2.7261 -2.0904 2.0528
3.4749 -1.7028 -1.0202
3.9703 3.0700 8.3989
As Tm Sc
3 2 1
direct
0.6667 0.3333 0.6572
0.3333 0.6667 0.3428
0.0000 0.0000 0.0000
0.6667 0.3333 0.1710
0.3333 0.6667 0.8290
0.0000 0.0000 0.5000
```

Summary:
- SG = P-3m1
- final energy (eV per atom) = -6.326
- magnetization (μB per cell) = 0.01

No. 2
Material: PmSmSO2
Method: DFT, PBE
State: optimized geometry

Cell and atoms, written as POSCAR:
```
PmSmSO2
1.0
-1.1841 -0.2679 3.7237
3.6876 -0.9128 -0.9527
1.8531 6.3915 1.0491
O S Sm Pm
2 1 1 1
direct
0.6667 0.3333 0.6289
0.3333 0.6667 0.3706
0.0000 0.0000 0.0003
0.6667 0.3333 0.2809
0.3333 0.6667 0.7193
```

Summary:
- SG = P3m1
- final energy (eV per atom) = -7.819
- magnetization (μB per cell) = 0.00

No. 3
Material: SrLuCuSe3
Method: DFT, PBE
State: optimized geometry

Cell and atoms, written as POSCAR:
```
SrLuCuSe3
1.0
-2.2937 -1.9088 -8.7124
-3.7262 -5.1221 -6.6851
-6.4490 4.4951 2.5681
Se Sr Cu Lu
6 2 2 2
direct
0.5000 0.5000 0.5000
0.3250 0.3250 0.1424
0.6763 0.6763 0.3194
0.3237 0.3237 0.6806
0.6750 0.6750 0.8576
0.0000 0.0000 0.0000
0.1291 0.1291 0.5699
0.8709 0.8709 0.4301
0.5366 0.5366 0.2090
0.4634 0.4634 0.7910
0.8372 0.8372 0.9176
0.1628 0.1628 0.0824
```

Summary:
- polymorph energy (0 for the lowest one) (eV per atom) = 0.0828
- SG = C2/m
- magnetization (μB per cell) = 0.00

No. 4
Material: AgI
Method: DFT, PBE
State: optimized geometry

Cell and atoms, written as POSCAR:
```
AgI
1.0
3.8342 0.0000 0.0000
0.0000 3.8342 0.0000
0.0000 0.0000 3.8342
I Ag
1 1
direct
0.5000 0.5000 0.5000
0.0000 0.0000 0.0000
```

Summary:
- SG = Pm-3m
- final energy (eV per atom) = -2.069